[1]
First-principles (PBE) data for an optimized crystal structure of LiZnBr4, as listed in the Alexandria database.

## Properties
As for the uncorrected formation energy: 17.7 kJ per mole of atoms. The value obtained for the total DFT energy (no corrections) is -1.4633 eV/atom. The space-group type is F-43m. The magnetization comes out at 1.6 μB per cell.

```
6
Lattice="-5.1271 -3.8524 0.5498 -5.9218 2.5200 0.1121 -3.9491 -0.8369 -5.0135" Properties=species:S:1:pos:R:3 pbc="T T T"
Li -11.2486 -1.6270 -3.2637
Br -5.6132 -0.8119 -1.6286
Br -8.1919 -2.7495 -1.3521
Br -8.5916 0.4555 -1.5723
Zn 0.0000 0.0000 0.0000
Br -7.5994 -1.2328 -4.1502
```

=====

[2]
First-principles (PBE) data for an optimized crystal structure of AgP2, as listed in the Alexandria database.

## Properties
For the energy above the most stable polymorph in this dataset, the calculation gives 1.68 eV/f.u. The value obtained for the total DFT energy (no corrections) is -3.9986 eV/atom. The space-group type is P6/mmm. The magnetization comes out at 0.0 μB per cell.

```
3
Lattice="-2.2035 -2.7501 -2.9574 -0.5147 -0.6117 4.5305 -2.0924 1.6872 -0.0099" Properties=species:S:1:pos:R:3 pbc="T T T"
P -2.1240 -0.4807 2.0296
Ag 0.0000 0.0000 0.0000
P -2.6866 -1.1938 -0.4664
```

=====

[3]
First-principles (PBE) data for an optimized crystal structure of DyPaAsSe, as listed in the Alexandria database.

## Properties
As for the uncorrected formation energy: -125.7 kJ per mole of atoms. The value obtained for the total DFT energy (no corrections) is -6.8612 eV/atom. The space-group type is R3m. The magnetization comes out at 1.0 μB per cell.

```
4
Lattice="3.9531 -0.0005 -0.0003 -1.9761 3.4239 0.0002 -1.9756 -1.1407 7.2968" Properties=species:S:1:pos:R:3 pbc="T T T"
Dy 0.3739 -0.2503 4.6405
As -1.6023 0.8913 6.3161
Se 2.3503 0.8908 2.6808
Pa -1.6028 3.1736 0.7346
```

=====

[4]
First-principles (PBE) data for an optimized crystal structure of Hf2MnTlBi, as listed in the Alexandria database.

## Properties
The value obtained for the total DFT energy (no corrections) is -6.6544 eV/atom. The space-group type is P4/mmm. The magnetization comes out at 0.0 μB per cell.

```
5
Lattice="4.8913 0.0000 0.0000 0.0000 4.9718 0.0000 0.0000 0.0000 4.8913" Properties=species:S:1:pos:R:3 pbc="T T T"
Tl 2.4456 2.4859 2.4456
Bi 0.0000 2.4859 0.0000
Hf 0.0000 0.0000 2.4456
Hf 2.4456 0.0000 0.0000
Mn 0.0000 0.0000 0.0000
```

=====

[5]
First-principles (PBE) data for an optimized crystal structure of YTlMo2, as listed in the Alexandria database.

## Properties
For the energy above the most stable polymorph in this dataset, the calculation gives 3.70 eV/f.u. The value obtained for the total DFT energy (no corrections) is -6.5494 eV/atom. The space-group type is I-42d. The magnetization comes out at 0.0 μB per cell.

```
8
Lattice="-3.2917 7.0527 -1.5216 -2.2312 -2.5856 -7.1574 -5.2156 1.3241 -3.2459" Properties=species:S:1:pos:R:3 pbc="T T T"
Y -5.1041 0.4861 -7.3714
Mo -5.9283 2.7313 -5.5145
Y -2.7614 2.2336 -4.3395
Mo -8.7987 4.8388 -10.2032
Mo -3.7204 4.5878 -2.6943
Tl 0.0000 0.0000 0.0000
Mo -3.0296 -0.5754 -5.4379
Tl -5.6344 5.3052 -4.5535
```

=====

[6]
First-principles (PBE) data for an optimized crystal structure of YRh2Au2, as listed in the Alexandria database.

## Properties
For the energy above the most stable polymorph in this dataset, the calculation gives 0.00 eV/f.u. The value obtained for the total DFT energy (no corrections) is -5.8575 eV/atom. The space-group type is P4/mbm. The magnetization comes out at 0.0 μB per cell.

```
10
Lattice="7.2200 0.0000 0.0000 0.0000 7.2200 0.0000 0.0000 0.0000 3.5633" Properties=species:S:1:pos:R:3 pbc="T T T"
Rh 6.2746 4.5554 0.0000
Y 0.0000 0.0000 0.0000
Rh 2.6646 6.2746 0.0000
Au 4.8114 6.0187 1.7816
Au 2.4087 1.2014 1.7816
Au 6.0187 2.4087 1.7816
Rh 4.5554 0.9454 0.0000
Y 3.6100 3.6100 0.0000
Au 1.2014 4.8114 1.7816
Rh 0.9454 2.6646 0.0000
```

=====

Which of these has the lowest total DFT energy (no corrections)?
DyPaAsSe

=====

Which value of total DFT energy (no corrections) does entry 5 give?
-6.5494 eV/atom

=====

Which formula does entry 6 have?
YRh2Au2

=====

total DFT energy (no corrections) of number 3 (DyPaAsSe)?
-6.8612 eV/atom